An optimized crystal structure of SmGdDy2In2. Source: OQMD via LeMat-Bulk, functional PBE.

The structure in extended XYZ format:
```
6
Lattice="5.4270 0.0000 0.0000 -2.7135 4.6999 0.0000 0.0000 0.0000 6.7684" Properties=species:S:1:pos:R:3 pbc="T T T"
Dy 2.7135 1.5666 1.6951
Dy 2.7135 1.5666 5.0732
Gd 0.0000 3.1333 3.3842
In 0.0000 3.1333 0.0000
In 0.0000 0.0000 3.3842
Sm 0.0000 0.0000 0.0000
```

Calculated values
- SG = P-6m2 (187)
- total moment (μB per atom) = 0.12
- DFT total energy (eV/atom) = -4.3599

An optimized crystal structure of Cu2Se. Source: OQMD via LeMat-Bulk, functional PBE.

The structure in extended XYZ format:
```
6
Lattice="-3.0773 -2.0220 2.2395 3.0445 -0.1015 4.0919 -1.5529 4.6477 1.2707" Properties=species:S:1:pos:R:3 pbc="T T T"
Cu 1.2333 -0.8228 5.0063
Cu -0.5908 0.9289 4.1328
Cu -2.0478 1.6305 2.0544
Cu -1.6944 3.3095 4.1073
Se -2.2795 -0.4554 3.1995
Se 0.6218 2.9820 4.3060
```

Calculated values
- SG = P2_1 (4)
- DFT total energy (eV/atom) = -3.7194

An optimized crystal structure of HoPuPt2. Source: OQMD via LeMat-Bulk, functional PBE.

The structure in extended XYZ format:
```
4
Lattice="-3.1975 0.1634 -2.0627 -2.0829 -2.3482 3.0428 0.1902 4.4604 3.5725" Properties=species:S:1:pos:R:3 pbc="T T T"
Ho -1.3381 1.9749 0.6081
Pt -4.1162 1.3261 1.3461
Pt -0.3857 3.9808 2.8082
Pu -3.1602 3.3203 3.5395
```

Calculated values
- SG = Amm2 (38)
- total moment (μB per atom) = 1.35
- calculated formation energy (meV per atom) = -1082
- DFT total energy (eV/atom) = -8.7859

An optimized crystal structure of Sm5Tl4. Source: OQMD via LeMat-Bulk, functional PBE.

The structure in extended XYZ format:
```
18
Lattice="-4.6732 -6.7377 4.8475 5.7894 -2.4347 -7.1616 5.1560 -0.4640 4.3258" Properties=species:S:1:pos:R:3 pbc="T T T"
Sm -1.1857 -5.3033 0.8444
Sm 2.3018 -3.8690 -3.1586
Sm -2.0290 -4.8997 4.5231
Sm 1.6127 -2.7760 0.4103
Sm 5.3994 -1.8446 -4.0032
Sm 1.3923 -5.5353 3.0073
Sm 4.8798 -4.1010 -0.9957
Sm 2.5117 -2.3019 4.6501
Sm 5.5459 -1.0540 1.1674
Sm 4.6595 -6.8603 1.6013
Tl 0.0000 0.0000 0.0000
Tl -0.4496 -2.6227 2.8849
Tl 3.4429 -1.0218 -1.5829
Tl 1.9899 -5.8759 -0.3717
Tl 2.5780 -0.2320 2.1629
Tl 0.9324 -4.5790 6.2884
Tl 4.2822 -3.7604 2.3834
Tl 7.5025 -1.8769 -1.2529
```

Calculated values
- SG = P6_3/mcm (193)
- total moment (μB per atom) = 0.07
- DFT total energy (eV/atom) = -4.0235

An optimized crystal structure of Ho2ErIn. Source: OQMD via LeMat-Bulk, functional PBE.

The structure in extended XYZ format:
```
4
Lattice="4.8015 0.0000 0.0000 0.0000 4.8015 0.0000 0.0000 0.0000 4.8179" Properties=species:S:1:pos:R:3 pbc="T T T"
Er 0.0000 0.0000 0.0000
Ho 2.4007 0.0000 2.4090
Ho 0.0000 2.4007 2.4090
In 2.4007 2.4007 0.0000
```

Calculated values
- SG = P4/mmm (123)
- total moment (μB per atom) = 0.03
- DFT total energy (eV/atom) = -4.3780

An optimized crystal structure of Rb2Ag3Se4. Source: OQMD via LeMat-Bulk, functional PBE.

The structure in extended XYZ format:
```
18
Lattice="0.0000 5.6347 14.1444 3.3165 0.0000 14.1444 3.3165 5.6347 0.0000" Properties=species:S:1:pos:R:3 pbc="T T T"
Ag 0.0000 0.0000 0.0000
Ag 3.3165 5.6347 21.2214
Ag 4.9748 8.4521 28.2842
Ag 4.9748 8.4521 21.2167
Ag 3.3165 5.6347 7.0675
Ag 4.9748 8.4521 14.1492
Rb 1.6583 2.8174 9.3003
Rb 1.6583 2.8174 4.8441
Rb 3.3165 5.6347 16.3725
Rb 3.3165 5.6347 11.9164
Se 3.3235 2.0251 15.9858
Se 3.3096 2.0251 12.3031
Se 4.9815 6.4273 23.0588
Se 4.9681 6.4273 19.3745
Se 3.3096 9.2444 15.9858
Se 4.9681 10.4769 23.0588
Se 3.3235 9.2444 12.3031
Se 4.9815 10.4769 19.3745
```

Calculated values
- SG = Fddd (70)
- energy above the most stable polymorph in this dataset (kJ/mol of atoms) = 0.00
- DFT total energy (eV/atom) = -3.0942

An optimized crystal structure of BaDyCu2Sb2. Source: OQMD via LeMat-Bulk, functional PBE.

The structure in extended XYZ format:
```
6
Lattice="4.4857 0.0000 0.0000 -2.2429 3.8848 0.0000 0.0000 0.0000 8.7621" Properties=species:S:1:pos:R:3 pbc="T T T"
Ba 0.0000 0.0000 6.5733
Cu 0.0000 2.5899 0.5544
Cu 2.2429 1.2949 3.8399
Dy 0.0000 0.0000 2.1910
Sb 2.2429 1.2949 0.2341
Sb 0.0000 2.5899 4.1489
```

Calculated values
- SG = P-3m1 (164)
- total moment (μB per atom) = 0.02
- DFT total energy (eV/atom) = -4.3880

An optimized crystal structure of Sr2ReIrO6. Source: OQMD via LeMat-Bulk, functional PBE.

The structure in extended XYZ format:
```
10
Lattice="-2.8962 2.0676 -4.9812 -4.9555 -2.5818 -2.5006 -0.8619 2.7396 4.4193" Properties=species:S:1:pos:R:3 pbc="T T T"
Ir 0.0000 0.0000 0.0000
O -3.6692 1.5420 -3.2006
O -4.6410 -0.6520 -2.0300
O -6.5398 0.4059 -4.6682
O -2.1739 1.8195 1.6057
O -4.0727 2.8774 -1.0326
O -5.0445 0.6834 0.1380
Re -0.4310 1.3698 2.2097
Sr -2.7321 0.6951 -0.9651
Sr -5.9816 1.5303 -2.0974
```

Calculated values
- SG = C2/m (12)
- total moment (μB per atom) = 0.00
- DFT total energy (eV/atom) = -7.1988

An optimized crystal structure of UPaPt. Source: OQMD via LeMat-Bulk, functional PBE.

The structure in extended XYZ format:
```
3
Lattice="0.0000 3.2679 3.2679 3.2679 0.0000 3.2679 3.2679 3.2679 0.0000" Properties=species:S:1:pos:R:3 pbc="T T T"
Pa 0.0000 0.0000 0.0000
Pt 3.2679 3.2679 3.2679
U 1.6340 1.6340 1.6340
```

Calculated values
- SG = F-43m (216)
- total moment (μB per atom) = 1.06
- calculated formation energy (meV per atom) = -102
- energy above the most stable polymorph in this dataset (kJ/mol of atoms) = 0.00
- DFT total energy (eV/atom) = -9.0510

An optimized crystal structure of ReBW. Source: OQMD via LeMat-Bulk, functional PBE.

The structure in extended XYZ format:
```
3
Lattice="2.6302 -3.0670 -0.1051 -0.7290 -3.3610 2.1230 -0.9676 -3.4273 -1.9111" Properties=species:S:1:pos:R:3 pbc="T T T"
B 0.2334 -2.4638 0.0267
Re 0.0000 0.0000 0.0000
W 0.7002 -7.3915 0.0801
```

Calculated values
- SG = F-43m (216)
- total moment (μB per atom) = 0.00
- energy above the most stable polymorph in this dataset (kJ/mol of atoms) = 120.51
- DFT total energy (eV/atom) = -9.6184

An optimized crystal structure of KSmLuSe3. Source: OQMD via LeMat-Bulk, functional PBE.

The structure in extended XYZ format:
```
12
Lattice="2.2341 -7.6341 0.0000 2.2341 7.6341 0.0000 0.0000 0.0000 11.3727" Properties=species:S:1:pos:R:3 pbc="T T T"
K 2.2341 3.6584 2.8432
K 2.2341 -3.6584 8.5295
Lu 2.2341 -0.5007 2.8432
Lu 2.2341 0.5007 8.5295
Se 2.2341 -1.9448 0.6326
Se 2.2341 -6.6318 2.8432
Se 2.2341 -1.9448 5.0537
Se 2.2341 1.9448 6.3190
Se 2.2341 6.6318 8.5295
Se 2.2341 1.9448 10.7401
Sm 0.0000 0.0000 0.0000
Sm 0.0000 0.0000 5.6863
```

Calculated values
- SG = Cmcm (63)
- total moment (μB per atom) = 0.00
- DFT total energy (eV/atom) = -5.0050

An optimized crystal structure of Pr2Al3In3. Source: OQMD via LeMat-Bulk, functional PBE.

The structure in extended XYZ format:
```
8
Lattice="6.7249 0.0000 0.0000 0.0000 4.8281 0.0000 -3.3141 0.0000 5.9136" Properties=species:S:1:pos:R:3 pbc="T T T"
Al 1.4347 0.0000 0.8487
Al 0.0641 2.4141 1.6957
Al 3.4374 0.0000 4.2370
In 5.2063 0.0000 0.9389
In 1.8736 2.4141 5.0187
In -1.7529 2.4141 5.0339
Pr 3.3125 2.4141 2.0337
Pr 0.0675 0.0000 3.8477
```

Calculated values
- SG = Pm (6)
- total moment (μB per atom) = 0.00
- DFT total energy (eV/atom) = -4.0109

An optimized crystal structure of RbReW. Source: OQMD via LeMat-Bulk, functional PBE.

The structure in extended XYZ format:
```
3
Lattice="-0.2029 1.1449 4.3361 1.1886 4.1329 1.2883 -3.1253 2.8965 1.4129" Properties=species:S:1:pos:R:3 pbc="T T T"
Rb 0.0000 0.0000 0.0000
Re -0.5349 2.0436 1.7593
W -1.6047 6.1307 5.2780
```

Calculated values
- SG = F-43m (216)
- total moment (μB per atom) = 0.01
- energy above the most stable polymorph in this dataset (kJ/mol of atoms) = 166.63
- DFT total energy (eV/atom) = -4.7135

Number 1: volume 173 Å³ per cell. Number 2: volume 111 Å³ per cell. Number 3: volume 90 Å³ per cell. Number 4: volume 530 Å³ per cell. Number 5: volume 111 Å³ per cell. Number 6: volume 529 Å³ per cell. Number 7: volume 153 Å³ per cell. Number 8: volume 142 Å³ per cell. Number 9: volume 70 Å³ per cell. Number 10: volume 47 Å³ per cell. Number 11: volume 388 Å³ per cell. Number 12: volume 192 Å³ per cell. Number 13: volume 64 Å³ per cell.